Entry 1:
DFT (GGA-PBE) results for an optimized crystal structure of Rb2SrAu.

## Properties
energy above the most stable polymorph in this dataset: 257 meV/atom
formation energy: 3.97 kcal/mol of atoms
E_tot: -1.551 eV/atom

```
data_Rb2SrAu
_cell_length_a 6.5272
_cell_length_b 6.5272
_cell_length_c 6.5272
_cell_angle_alpha 60.00
_cell_angle_beta 60.00
_cell_angle_gamma 60.00
_symmetry_space_group_name_H-M 'P 1'
_symmetry_Int_Tables_number 1
_symmetry_space_group_name_Hall 'P 1'
loop_
_atom_site_label
_atom_site_type_symbol
_atom_site_fract_x
_atom_site_fract_y
_atom_site_fract_z
Au1 Au 0.5000 0.5000 0.5000
Rb1 Rb 0.7500 0.7500 0.7500
Rb2 Rb 0.2500 0.2500 0.2500
Sr1 Sr 0.0000 0.0000 0.0000
```

=====

Entry 2:
DFT (GGA-PBE) results for an optimized crystal structure of InRePb2.

## Properties
energy above the most stable polymorph in this dataset: 438 meV/atom
formation energy: 21.99 kcal/mol of atoms
E_tot: -4.697 eV/atom

```
data_InRePb2
_cell_length_a 5.4922
_cell_length_b 5.4922
_cell_length_c 3.3368
_cell_angle_alpha 90.00
_cell_angle_beta 90.00
_cell_angle_gamma 107.90
_symmetry_space_group_name_H-M 'P 1'
_symmetry_Int_Tables_number 1
_symmetry_space_group_name_Hall 'P 1'
loop_
_atom_site_label
_atom_site_type_symbol
_atom_site_fract_x
_atom_site_fract_y
_atom_site_fract_z
In1 In 0.0000 0.5000 0.5000
Re1 Re 0.5000 0.0000 0.5000
Pb1 Pb 0.0000 0.0000 0.0000
Pb2 Pb 0.5000 0.5000 0.0000
```

=====

Entry 3:
DFT (GGA-PBE) results for an optimized crystal structure of LiHo2Ni2.

## Properties
formation energy: -7.22 kcal/mol of atoms
E_tot: -4.839 eV/atom

```
data_LiHo2Ni2
_cell_length_a 4.1466
_cell_length_b 5.3273
_cell_length_c 5.3273
_cell_angle_alpha 62.76
_cell_angle_beta 67.10
_cell_angle_gamma 67.10
_symmetry_space_group_name_H-M 'P 1'
_symmetry_Int_Tables_number 1
_symmetry_space_group_name_Hall 'P 1'
loop_
_atom_site_label
_atom_site_type_symbol
_atom_site_fract_x
_atom_site_fract_y
_atom_site_fract_z
Ho1 Ho 0.2932 0.2068 0.7068
Ho2 Ho 0.7068 0.7932 0.2932
Li1 Li 0.5000 0.5000 0.0000
Ni1 Ni 0.0000 0.7820 0.7180
Ni2 Ni 0.0000 0.2180 0.2820
```